YCo3F | PBE+U | relaxed

Lattice parameters (Å, degrees): 4.3202 4.3202 4.3202 90.00 90.00 90.00
With the nearest neighbours (Å) after each atom.
Sites, in units of the cell vectors:
Co (0.0000, 0.0000, 0.5000)  2 F 2.16
Co (0.0000, 0.5000, 0.0000)  2 F 2.16
Co (0.5000, 0.0000, 0.0000)  2 F 2.16
Y (0.5000, 0.5000, 0.5000)  12 Co 3.05
F (0.0000, 0.0000, 0.0000)  6 Co 2.16

E   -4.633 eV per atom
Total magnetization   0.9262 μB/atom
E above lowest polymorph   0.0000 eV per atom